Computed, not measured: a relaxed ZnCrSe2 crystal at the PBE level of DFT.

Unit cell a=7.5282 b=7.5282 c=7.5282 alpha=29.31 beta=29.31 gamma=29.31
With the nearest neighbours (Å) after each atom.
Fractional positions:
Cr (0.7513, 0.7513, 0.7513)  3 Se 2.47
Se (0.0328, 0.0328, 0.0328)  3 Cr 2.47
Se (0.2136, 0.2136, 0.2136)  3 Zn 2.40
Zn (0.5024, 0.5024, 0.5024)  3 Se 2.40

Calculated values
E_form (uncorrected) ... -0.8 eV/f.u.
Space-group type ... R3m
Calculated total energy ... -4.66 eV per atom



Computed, not measured: a relaxed ZnCr2Se crystal at the PBE level of DFT.

Unit cell a=8.0131 b=8.0131 c=8.0131 alpha=20.52 beta=20.52 gamma=20.52
With the nearest neighbours (Å) after each atom.
Fractional positions:
Cr (0.0054, 0.0054, 0.0054)  3 Se 2.46, 3 Zn 2.66
Cr (0.4946, 0.4946, 0.4946)  3 Se 2.46, 3 Zn 2.66
Se (0.7500, 0.7500, 0.7500)  6 Cr 2.46
Zn (0.2500, 0.2500, 0.2500)  6 Cr 2.66, 6 Zn 2.85

Calculated values
E_form (uncorrected) ... 1.6 eV/f.u.
Space-group type ... R-3m
Calculated total energy ... -5.61 eV per atom



Computed, not measured: a relaxed ZnCrSe crystal at the PBE level of DFT.

Unit cell a=3.0384 b=3.0384 c=6.2913 alpha=90.00 beta=90.00 gamma=120.00
With the nearest neighbours (Å) after each atom.
Fractional positions:
Cr (0.0000, 0.0000, 0.0197)  3 Se 2.36, 3 Zn 2.62
Se (0.6667, 0.3333, 0.2699)  3 Cr 2.36
Zn (0.3333, 0.6667, 0.7104)  3 Cr 2.62

Calculated values
E_form (uncorrected) ... 0.1 eV/f.u.
Space-group type ... P3m1
Calculated total energy ... -4.76 eV per atom



Computed, not measured: a relaxed ZnCrSe crystal at the PBE level of DFT.

Unit cell a=6.1200 b=6.1200 c=3.0186 alpha=75.72 beta=75.72 gamma=28.56
With the nearest neighbours (Å) after each atom.
Fractional positions:
Cr (0.9886, 0.9885, 0.0114)  4 Se 2.48, 4 Zn 2.70
Se (0.3792, 0.3792, 0.6208)  4 Cr 2.48
Zn (0.6322, 0.6322, 0.3678)  4 Cr 2.70, 1 Se 2.90, 4 Zn 3.02

Calculated values
E_form (uncorrected) ... 0.1 eV/f.u.
Space-group type ... I4mm
Calculated total energy ... -4.75 eV per atom